Record 1
Co2SiW | GGA-PBE | optimized geometry

## Properties
DOS at the Fermi energy ... 4.0 states/eV per cell
ρ ... 7.905 g cm⁻³
E_form (uncorrected) ... 839 meV/atom
Space-group type ... No. 122
Total DFT energy (no corrections) ... -7.308 eV/atom

a = 6.3219 Å, b = 6.3219 Å, c = 6.3219 Å
α = 131.56°, β = 131.56°, γ = 70.93°
Closest atoms and distances in Å follow each position.
Element x y z (fractional)
Co1 0.1028 0.6250 0.9778  2 Si 2.18, 2 W 2.31
Co2 0.3750 0.3528 0.4778  2 Si 2.18, 2 W 2.31
Co3 0.6472 0.1250 0.0222  2 Si 2.18, 2 W 2.31
Co4 0.8750 0.8972 0.5222  2 Si 2.18, 2 W 2.31
Si1 0.0000 0.0000 0.0000  4 Co 2.18
Si2 0.7500 0.2500 0.5000  4 Co 2.18
W1 0.2500 0.7500 0.5000  4 Co 2.31
W2 0.5000 0.5000 0.0000  4 Co 2.31

***

Record 2
CoSi2W | GGA-PBE | optimized geometry

## Properties
DOS at the Fermi energy ... 2.5 states/eV per cell
ρ ... 9.851 g cm⁻³
E_form (uncorrected) ... -130 meV/atom
Space-group type ... No. 47
Total DFT energy (no corrections) ... -7.856 eV/atom

a = 2.6914 Å, b = 3.2102 Å, c = 5.8322 Å
α = 90.00°, β = 90.00°, γ = 90.00°
Closest atoms and distances in Å follow each position.
Element x y z (fractional)
Co1 0.0000 0.0000 0.0000  8 Si 2.46, 2 Co 2.69
Si1 0.5000 0.5000 0.2203  4 Co 2.46, 3 Si 2.57-2.69, 4 W 2.65
Si2 0.5000 0.5000 0.7797  4 Co 2.46, 3 Si 2.57-2.69, 4 W 2.65
W1 0.0000 0.0000 0.5000  8 Si 2.65, 2 W 2.69, 2 Co 2.92

***

Record 3
CoSi2W | GGA-PBE | optimized geometry

## Properties
DOS at the Fermi energy ... 2.2 states/eV per cell
ρ ... 9.435 g cm⁻³
E_form (uncorrected) ... -193 meV/atom
Space-group type ... No. 44
Total DFT energy (no corrections) ... -7.919 eV/atom

a = 5.2079 Å, b = 5.2079 Å, c = 5.2079 Å
α = 143.20°, β = 141.24°, γ = 54.52°
Closest atoms and distances in Å follow each position.
Element x y z (fractional)
Co1 0.0000 0.0000 0.0000  6 Si 2.30-2.41
Si1 0.1742 0.6742 0.5000  2 Co 2.30, 4 W 2.49
Si2 0.4609 0.4609 0.0000  4 Co 2.41, 2 W 2.59, 2 Si 2.62
W1 0.7519 0.2519 0.5000  6 Si 2.49-2.59

***

Record 4
Co2SiW | GGA-PBE | optimized geometry

## Properties
DOS at the Fermi energy ... 3.1 states/eV per cell
ρ ... 11.138 g cm⁻³
E_form (uncorrected) ... -102 meV/atom
Space-group type ... No. 8
Total DFT energy (no corrections) ... -8.249 eV/atom

a = 4.4230 Å, b = 4.4230 Å, c = 4.4266 Å
α = 100.03°, β = 100.03°, γ = 35.27°
Closest atoms and distances in Å follow each position.
Element x y z (fractional)
Co1 0.0000 0.0000 0.0000  3 Si 2.39-2.44, 4 W 2.59, 3 Co 2.65-2.67
Co2 0.2481 0.2481 0.7028  2 Si 2.41, 3 W 2.43-2.53, 5 Co 2.65-2.68
Si1 0.7355 0.7355 0.1512  5 Co 2.39-2.44
W1 0.4969 0.4969 0.4983  7 Co 2.43-2.59, 2 W 2.68

***

Record 5
Co2SiW | GGA-PBE | optimized geometry

## Properties
DOS at the Fermi energy ... 3.4 states/eV per cell
ρ ... 11.200 g cm⁻³
E_form (uncorrected) ... -142 meV/atom
Space-group type ... No. 47
Total DFT energy (no corrections) ... -8.289 eV/atom

a = 2.6955 Å, b = 3.5400 Å, c = 5.1243 Å
α = 90.00°, β = 90.00°, γ = 90.00°
Closest atoms and distances in Å follow each position.
Element x y z (fractional)
Co1 0.0000 0.0000 0.2419  4 Co 2.48-2.70, 4 Si 2.55, 4 W 2.59
Co2 0.0000 0.0000 0.7581  4 Co 2.48-2.70, 4 Si 2.55, 4 W 2.59
Si1 0.5000 0.5000 0.0000  8 Co 2.55, 2 W 2.56, 2 Si 2.70
W1 0.5000 0.5000 0.5000  2 Si 2.56, 8 Co 2.59, 2 W 2.70

***

Record 6
Co2SiW | GGA-PBE | optimized geometry

## Properties
DOS at the Fermi energy ... 3.8 states/eV per cell
ρ ... 11.252 g cm⁻³
E_form (uncorrected) ... -51 meV/atom
Space-group type ... No. 216
Total DFT energy (no corrections) ... -8.198 eV/atom

a = 4.0982 Å, b = 4.0982 Å, c = 4.0982 Å
α = 60.00°, β = 60.00°, γ = 60.00°
Closest atoms and distances in Å follow each position.
Element x y z (fractional)
Co1 0.0000 0.0000 0.0000  4 Si 2.51, 4 Co 2.51
Co2 0.2500 0.2500 0.2500  4 W 2.51, 4 Co 2.51
Si1 0.7500 0.7500 0.7500  4 Co 2.51, 4 W 2.51
W1 0.5000 0.5000 0.5000  4 Co 2.51, 4 Si 2.51

***

Record 7
Co2SiW | GGA-PBE | optimized geometry

## Properties
DOS at the Fermi energy ... 3.3 states/eV per cell
ρ ... 11.040 g cm⁻³
E_form (uncorrected) ... -24 meV/atom
Space-group type ... No. 166
Total DFT energy (no corrections) ... -8.171 eV/atom

a = 8.1136 Å, b = 8.1136 Å, c = 8.1136 Å
α = 19.03°, β = 19.03°, γ = 19.03°
Closest atoms and distances in Å follow each position.
Element x y z (fractional)
Co1 0.2427 0.2427 0.2427  3 Si 2.39, 3 W 2.66
Co2 0.7573 0.7573 0.7573  3 Si 2.39, 3 W 2.66
Si1 0.5000 0.5000 0.5000  6 Co 2.39
W1 0.0000 0.0000 0.0000  6 Co 2.66, 6 W 2.68

***

Record 8
CoSiW | GGA-PBE | optimized geometry

## Properties
DOS at the Fermi energy ... 3.0 states/eV per cell
ρ ... 11.894 g cm⁻³
E_form (uncorrected) ... -169 meV/atom
Space-group type ... No. 107
Total DFT energy (no corrections) ... -8.663 eV/atom

a = 5.1651 Å, b = 5.1651 Å, c = 5.1651 Å
α = 148.35°, β = 148.35°, γ = 45.37°
Closest atoms and distances in Å follow each position.
Element x y z (fractional)
Co1 0.0000 0.0000 0.0000  4 Si 2.32
Si1 0.3743 0.3743 0.0000  4 Co 2.32
W1 0.6873 0.6873 0.0000  5 Si 2.67-2.98, 5 Co 2.67-2.98, 4 W 2.82